Entry 1:
YPdPb | Alexandria | meta-GGA SCAN | PBEsol geometry; E_form = -0.91 eV/atom; final energy = -46.373 eV/atom; magnetic moment = 0.000 μB/f.u.
1.0
7.670 0.000 0.000
-3.835 6.642 0.000
0.000 0.000 3.872
Y Pd Pb
3 3 3
Direct
0.000 0.401 0.000
0.401 0.000 0.000
0.599 0.599 0.000
0.000 0.000 0.000
0.333 0.667 0.500
0.667 0.333 0.500
0.000 0.735 0.500
0.265 0.265 0.500
0.735 0.000 0.500


Entry 2:
SrMnW2 | Alexandria | meta-GGA SCAN | PBEsol geometry; E_form = 1.24 eV/atom; final energy = -43.733 eV/atom; magnetic moment = 3.604 μB/f.u.
1.0
3.871 0.000 0.000
0.000 3.871 0.000
0.000 0.000 9.773
Sr Mn W
2 2 4
Direct
0.000 0.000 0.000
0.500 0.500 0.500
0.000 0.000 0.500
0.500 0.500 0.000
0.000 0.500 0.250
0.000 0.500 0.750
0.500 0.000 0.250
0.500 0.000 0.750


Entry 3:
MgZr2Zn | Alexandria | meta-GGA SCAN | PBEsol geometry; excess energy over the best structure of this formula in the dataset = 33.2 meV/atom; E_form = -0.11 eV/atom; final energy = -20.084 eV/atom; magnetic moment = 0.000 μB/f.u.
1.0
6.758 0.000 0.000
0.000 6.758 0.000
0.000 0.000 6.758
Mg Zr Zn
4 8 4
Direct
0.000 0.000 0.000
0.000 0.500 0.500
0.500 0.000 0.500
0.500 0.500 0.000
0.250 0.250 0.250
0.250 0.250 0.750
0.250 0.750 0.250
0.250 0.750 0.750
0.750 0.250 0.250
0.750 0.250 0.750
0.750 0.750 0.250
0.750 0.750 0.750
0.000 0.000 0.500
0.000 0.500 0.000
0.500 0.000 0.000
0.500 0.500 0.500


Entry 4:
ZrMnSi | Alexandria | meta-GGA SCAN | PBEsol geometry; final energy = -20.424 eV/atom; magnetic moment = 2.547 μB/f.u.; uncorrected formation energy = -0.767 eV per atom
1.0
6.527 0.000 0.000
0.000 3.644 0.000
0.000 0.000 7.544
Zr Mn Si
4 4 4
Direct
0.025 0.250 0.181
0.475 0.750 0.681
0.525 0.250 0.319
0.975 0.750 0.819
0.140 0.250 0.566
0.360 0.750 0.066
0.640 0.250 0.934
0.860 0.750 0.434
0.224 0.750 0.380
0.276 0.250 0.880
0.724 0.750 0.120
0.776 0.250 0.620


Entry 5:
CaFeCo2 | Alexandria | meta-GGA SCAN | PBEsol geometry; excess energy over the best structure of this formula in the dataset = 78.7 meV/atom; E_form = 0.26 eV/atom; final energy = -15.340 eV/atom; magnetic moment = 5.091 μB/f.u.
1.0
2.936 0.000 0.000
0.000 2.936 0.000
0.000 0.000 6.577
Ca Fe Co
1 1 2
Direct
0.000 0.000 0.000
0.000 0.000 0.500
0.500 0.500 0.313
0.500 0.500 0.687


Entry 6:
RbBaS2Cl | Alexandria | meta-GGA SCAN | PBEsol geometry; final energy = -18.605 eV/atom; magnetic moment = 2.005 μB/f.u.; uncorrected formation energy = -1.101 eV per atom
1.0
5.876 0.000 0.000
0.000 5.876 0.000
0.000 0.000 5.946
Rb Ba S Cl
1 1 2 1
Direct
0.000 0.000 0.000
0.500 0.500 0.500
0.000 0.500 0.500
0.500 0.000 0.500
0.500 0.500 0.000


Entry 7:
InTe2IrS | Alexandria | meta-GGA SCAN | PBEsol geometry; final energy = -37.307 eV/atom; magnetic moment = 0.001 μB/f.u.; uncorrected formation energy = 0.416 eV per atom
1.0
5.114 0.000 0.000
0.000 5.114 0.000
0.000 0.000 5.113
In Te Ir S
1 2 1 1
Direct
0.000 0.000 0.000
0.000 0.500 0.500
0.500 0.000 0.500
0.000 0.000 0.500
0.500 0.500 0.000


Entry 8:
TlPtBr2 | Alexandria | meta-GGA SCAN | PBEsol geometry; final energy = -45.328 eV/atom; magnetic moment = 0.000 μB/f.u.; uncorrected formation energy = 0.040 eV per atom
1.0
3.874 0.000 0.000
0.000 3.874 0.000
0.000 0.000 7.481
Tl Pt Br
1 1 2
Direct
0.000 0.000 0.000
0.500 0.500 0.012
0.000 0.000 0.643
0.500 0.500 0.326


Entry 9:
KMgSc2 | Alexandria | meta-GGA SCAN | PBEsol geometry; E_form = 0.42 eV/atom; final energy = -10.024 eV/atom; magnetic moment = 1.205 μB/f.u.
1.0
10.714 0.000 0.000
0.000 3.175 0.000
-0.636 0.000 7.398
K Mg Sc
2 2 4
Direct
0.000 0.000 0.000
0.500 0.500 0.000
0.244 0.000 0.690
0.744 0.500 0.690
0.000 0.500 0.496
0.264 0.500 0.343
0.500 0.000 0.496
0.764 0.000 0.343


Entry 10:
Be2PSe | Alexandria | meta-GGA SCAN | PBEsol geometry; excess energy over the best structure of this formula in the dataset = 78.9 meV/atom; final energy = -9.421 eV/atom; magnetic moment = 0.000 μB/f.u.; uncorrected formation energy = 0.375 eV per atom
1.0
3.293 0.000 0.000
0.000 5.390 0.000
0.000 0.000 6.422
Be P Se
4 2 2
Direct
0.000 0.000 0.231
0.000 0.000 0.769
0.500 0.500 0.231
0.500 0.500 0.769
0.000 0.500 0.000
0.500 0.000 0.000
0.000 0.500 0.500
0.500 0.000 0.500


Entry 11:
TiBeTe2 | Alexandria | meta-GGA SCAN | PBEsol geometry; final energy = -24.065 eV/atom; magnetic moment = 2.000 μB/f.u.; uncorrected formation energy = -0.344 eV per atom
1.0
6.194 0.000 0.000
0.000 6.194 0.000
0.000 0.000 10.793
Ti Be Te
4 4 8
Direct
0.000 0.000 0.000
0.000 0.500 0.250
0.500 0.000 0.750
0.500 0.500 0.500
0.000 0.000 0.500
0.000 0.500 0.750
0.500 0.000 0.250
0.500 0.500 0.000
0.207 0.750 0.625
0.250 0.207 0.375
0.250 0.293 0.875
0.293 0.750 0.125
0.707 0.250 0.125
0.750 0.707 0.875
0.750 0.793 0.375
0.793 0.250 0.625


Entry 12:
CoSn3 | Alexandria | meta-GGA SCAN | PBEsol geometry; E_form = 0.09 eV/atom; final energy = -31.179 eV/atom; magnetic moment = 0.000 μB/f.u.
1.0
8.359 -3.089 0.000
8.359 3.089 0.000
0.000 0.000 6.207
Co Sn
4 12
Direct
0.080 0.080 0.000
0.420 0.420 0.500
0.580 0.580 0.500
0.920 0.920 0.000
0.017 0.653 0.319
0.153 0.517 0.819
0.163 0.837 0.664
0.337 0.663 0.164
0.347 0.983 0.319
0.483 0.847 0.819
0.517 0.153 0.181
0.653 0.017 0.681
0.663 0.337 0.836
0.837 0.163 0.336
0.847 0.483 0.181
0.983 0.347 0.681


Entry 13:
Ca2LaRu | Alexandria | meta-GGA SCAN | PBEsol geometry; excess energy over the best structure of this formula in the dataset = 0.0 meV/atom; E_form = -0.02 eV/atom; final energy = -24.339 eV/atom; magnetic moment = 0.068 μB/f.u.
1.0
4.928 0.000 0.000
0.000 4.941 0.000
0.000 0.000 9.603
Ca La Ru
4 2 2
Direct
0.000 0.000 0.000
0.000 0.500 0.327
0.500 0.000 0.327
0.500 0.500 0.000
0.000 0.000 0.655
0.500 0.500 0.655
0.000 0.500 0.810
0.500 0.000 0.810


Entry 14:
Cs3PSe4 | Alexandria | meta-GGA SCAN | PBEsol geometry; final energy = -26.595 eV/atom; magnetic moment = 0.000 μB/f.u.; uncorrected formation energy = -1.077 eV per atom
1.0
9.833 0.000 0.000
0.000 11.847 0.000
0.000 0.000 9.941
Cs P Se
12 4 16
Direct
0.036 0.039 0.201
0.036 0.461 0.201
0.157 0.750 0.407
0.343 0.250 0.907
0.464 0.539 0.701
0.464 0.961 0.701
0.536 0.039 0.299
0.536 0.461 0.299
0.657 0.750 0.093
0.843 0.250 0.593
0.964 0.539 0.799
0.964 0.961 0.799
0.229 0.750 0.976
0.271 0.250 0.476
0.729 0.750 0.524
0.771 0.250 0.024
0.022 0.750 0.067
0.164 0.095 0.541
0.164 0.405 0.541
0.214 0.750 0.754
0.286 0.250 0.254
0.336 0.595 0.041
0.336 0.905 0.041
0.478 0.250 0.567
0.522 0.750 0.433
0.664 0.095 0.959
0.664 0.405 0.959
0.714 0.750 0.746
0.786 0.250 0.246
0.836 0.595 0.459
0.836 0.905 0.459
0.978 0.250 0.933


Entry 15:
SrCdBr | Alexandria | meta-GGA SCAN | PBEsol geometry; excess energy over the best structure of this formula in the dataset = 0.0 meV/atom; final energy = -25.031 eV/atom; magnetic moment = 0.000 μB/f.u.; uncorrected formation energy = -0.981 eV per atom
1.0
5.475 0.000 0.000
0.000 5.472 0.000
-2.725 0.000 6.469
Sr Cd Br
2 2 2
Direct
0.000 0.000 0.000
0.500 0.500 0.000
0.159 0.500 0.318
0.659 0.000 0.318
0.380 0.000 0.759
0.880 0.500 0.759


Entry 16:
Eu3Si4 | Alexandria | meta-GGA SCAN | PBEsol geometry; final energy = -29.338 eV/atom; magnetic moment = 7.947 μB/f.u.; uncorrected formation energy = -0.596 eV per atom
1.0
3.914 0.000 0.000
0.000 4.364 0.000
0.000 0.000 17.992
Eu Si
6 8
Direct
0.000 0.000 0.000
0.000 0.500 0.314
0.000 0.500 0.686
0.500 0.000 0.186
0.500 0.000 0.814
0.500 0.500 0.500
0.000 0.000 0.435
0.000 0.000 0.565
0.000 0.500 0.139
0.000 0.500 0.861
0.500 0.000 0.361
0.500 0.000 0.639
0.500 0.500 0.065
0.500 0.500 0.935


Entry 17:
YRu3 | Alexandria | meta-GGA SCAN | PBEsol geometry; E_form = 0.20 eV/atom; final energy = -32.885 eV/atom; magnetic moment = 0.000 μB/f.u.
1.0
2.892 0.000 0.000
0.000 4.564 0.000
0.000 0.000 9.701
Y Ru
2 6
Direct
0.000 0.000 0.000
0.500 0.500 0.500
0.000 0.000 0.500
0.000 0.500 0.223
0.000 0.500 0.777
0.500 0.000 0.277
0.500 0.000 0.723
0.500 0.500 0.000


Entry 18:
SbIrBr | Alexandria | meta-GGA SCAN | PBEsol geometry; final energy = -42.639 eV/atom; magnetic moment = 0.000 μB/f.u.; uncorrected formation energy = -0.032 eV per atom
1.0
3.849 0.000 0.000
-1.924 3.333 0.000
0.000 0.000 5.353
Sb Ir Br
1 1 1
Direct
0.000 0.000 0.000
0.667 0.333 0.236
0.333 0.667 0.522


Entry 19:
Cr3NiH | Alexandria | meta-GGA SCAN | PBEsol geometry; final energy = -14.847 eV/atom; magnetic moment = 0.000 μB/f.u.
1.0
3.579 0.000 0.000
0.000 3.579 0.000
0.000 0.000 3.579
Cr Ni H
3 1 1
Direct
0.000 0.000 0.500
0.000 0.500 0.000
0.500 0.000 0.000
0.500 0.500 0.500
0.000 0.000 0.000


Entry 20:
K2TeMo | Alexandria | meta-GGA SCAN | PBEsol geometry; final energy = -21.837 eV/atom; magnetic moment = 4.747 μB/f.u.; uncorrected formation energy = 0.361 eV per atom
1.0
6.164 0.000 0.000
0.000 8.465 0.000
0.000 0.000 4.861
K Te Mo
4 2 2
Direct
0.250 0.250 0.000
0.250 0.750 0.000
0.750 0.250 0.000
0.750 0.750 0.000
0.000 0.000 0.500
0.500 0.500 0.500
0.000 0.500 0.500
0.500 0.000 0.500


Entry 21:
YGa2Co3 | Alexandria | meta-GGA SCAN | PBEsol geometry; E_form = -0.35 eV/atom; final energy = -19.093 eV/atom; magnetic moment = 2.293 μB/f.u.
1.0
8.830 0.000 0.000
-4.415 7.647 0.000
0.000 0.000 3.780
Y Ga Co
3 6 9
Direct
0.000 0.000 0.000
0.333 0.667 0.500
0.667 0.333 0.500
0.000 0.316 0.500
0.000 0.684 0.500
0.316 0.000 0.500
0.316 0.316 0.500
0.684 0.000 0.500
0.684 0.684 0.500
0.000 0.500 0.000
0.183 0.366 0.000
0.183 0.817 0.000
0.366 0.183 0.000
0.500 0.000 0.000
0.500 0.500 0.000
0.634 0.817 0.000
0.817 0.183 0.000
0.817 0.634 0.000


Entry 22:
Be5Tc | Alexandria | meta-GGA SCAN | PBEsol geometry; excess energy over the best structure of this formula in the dataset = 20.5 meV/atom; E_form = -0.17 eV/atom; final energy = -9.638 eV/atom; magnetic moment = 0.001 μB/f.u.
1.0
4.214 0.000 0.000
-2.107 3.650 0.000
0.000 0.000 3.351
Be Tc
5 1
Direct
0.000 0.500 0.000
0.333 0.667 0.500
0.500 0.000 0.000
0.500 0.500 0.000
0.667 0.333 0.500
0.000 0.000 0.500


Entry 23:
MgZrCd2O | Alexandria | meta-GGA SCAN | PBEsol geometry; final energy = -19.218 eV/atom; magnetic moment = 1.785 μB/f.u.; uncorrected formation energy = 1.329 eV per atom
1.0
5.541 0.000 0.000
0.000 5.541 0.000
0.000 0.000 5.838
Mg Zr Cd O
1 1 2 1
Direct
0.000 0.000 0.000
0.000 0.000 0.500
0.000 0.500 0.500
0.500 0.000 0.500
0.500 0.500 0.000


Entry 24:
NaTcSeBr2 | Alexandria | meta-GGA SCAN | PBEsol geometry; final energy = -19.197 eV/atom; magnetic moment = 3.995 μB/f.u.; uncorrected formation energy = 0.458 eV per atom
1.0
5.044 0.000 0.000
0.000 5.044 0.000
0.000 0.000 5.272
Na Tc Se Br
1 1 1 2
Direct
0.000 0.000 0.000
0.500 0.500 0.500
0.000 0.000 0.500
0.000 0.500 0.000
0.500 0.000 0.000


Entry 25:
SrZrW2 | Alexandria | meta-GGA SCAN | PBEsol geometry; excess energy over the best structure of this formula in the dataset = 820.1 meV/atom; E_form = 1.37 eV/atom; final energy = -46.715 eV/atom; magnetic moment = 0.000 μB/f.u.
1.0
5.364 0.000 0.000
0.000 5.364 0.000
0.000 0.000 2.822
Sr Zr W
1 1 2
Direct
0.000 0.000 0.000
0.500 0.500 0.000
0.000 0.500 0.500
0.500 0.000 0.500


Entry 26:
PrAgSb2 | Alexandria | meta-GGA SCAN | PBEsol geometry; final energy = -38.077 eV/atom; magnetic moment = 0.000 μB/f.u.; uncorrected formation energy = -0.773 eV per atom
1.0
4.349 0.000 0.000
0.000 4.349 0.000
0.000 0.000 10.543
Pr Ag Sb
2 2 4
Direct
0.250 0.250 0.240
0.750 0.750 0.760
0.250 0.750 0.500
0.750 0.250 0.500
0.250 0.250 0.673
0.250 0.750 0.000
0.750 0.250 0.000
0.750 0.750 0.327